[1]
The following is a DFT calculation (PBE-GGA) of an optimized crystal structure of Ba2NaZnCr.

Lattice parameters (Å, degrees): 6.4650 6.4650 5.0693 90.00 90.00 90.00
Fractional positions:
Ba1 0.0000 0.5000 0.0000
Ba2 0.5000 0.0000 0.0000
Na1 0.0000 0.0000 0.5000
Zn1 0.5000 0.5000 0.0000
Cr1 0.5000 0.5000 0.5000

Values from the calculation:
DFT total energy = -2.875 eV per atom
energy of formation = 0.34 eV/atom
crystal system = tetragonal

[2]
The following is a DFT calculation (PBE-GGA) of an optimized crystal structure of CePaAg.

Lattice parameters (Å, degrees): 7.8986 7.8986 7.8986 157.91 157.91 31.45
Fractional positions:
Ce1 0.0000 0.0000 0.0000
Pa1 0.6714 0.6714 0.0000
Ag1 0.3336 0.3336 0.0000

Values from the calculation:
DFT total energy = -6.001 eV per atom
energy of formation = 0.09 eV/atom
energy above the most stable polymorph in this dataset = 0.0 kJ per mole of atoms
crystal system = tetragonal

[3]
The following is a DFT calculation (PBE-GGA) of an optimized crystal structure of RbTlSe2.

Lattice parameters (Å, degrees): 8.7549 8.7549 7.4858 107.53 107.53 31.94
Fractional positions:
Rb1 0.0457 0.0457 0.2869
Rb2 0.9543 0.9543 0.7131
Tl1 0.2616 0.2616 0.6932
Tl2 0.7384 0.7384 0.3068
Se1 0.3536 0.3536 0.3082
Se2 0.4120 0.4120 0.0487
Se3 0.5880 0.5880 0.9513
Se4 0.6464 0.6464 0.6918

Values from the calculation:
DFT total energy = -3.131 eV per atom
energy above the most stable polymorph in this dataset = 10.9 kJ per mole of atoms
crystal system = monoclinic

[4]
The following is a DFT calculation (PBE-GGA) of an optimized crystal structure of LaCu9Ag2.

Lattice parameters (Å, degrees): 8.5645 8.5645 8.5645 34.42 34.42 34.42
Fractional positions:
La1 0.0000 0.0000 0.0000
Cu1 0.0827 0.5870 0.5870
Cu2 0.3333 0.3333 0.3333
Cu3 0.4130 0.4130 0.9173
Cu4 0.4130 0.9173 0.4130
Cu5 0.5000 0.5000 0.5000
Cu6 0.5870 0.0827 0.5870
Cu7 0.5870 0.5870 0.0827
Cu8 0.6667 0.6667 0.6667
Cu9 0.9173 0.4130 0.4130
Ag1 0.1458 0.1458 0.1458
Ag2 0.8542 0.8542 0.8542

Values from the calculation:
DFT total energy = -4.033 eV per atom
energy of formation = -0.07 eV/atom
crystal system = trigonal

[5]
The following is a DFT calculation (PBE-GGA) of an optimized crystal structure of PmHo2H8.

Lattice parameters (Å, degrees): 6.3529 6.3529 6.3529 146.50 131.59 60.15
Fractional positions:
Pm1 0.0000 0.0000 0.0000
Ho1 0.3304 0.3304 0.0000
Ho2 0.6696 0.6696 0.0000
H1 0.1005 0.8346 0.2659
H2 0.1567 0.6567 0.5000
H3 0.2831 0.5000 0.7831
H4 0.4314 0.1654 0.2659
H5 0.5686 0.8346 0.7341
H6 0.7169 0.5000 0.2169
H7 0.8433 0.3433 0.5000
H8 0.8995 0.1654 0.7341

Values from the calculation:
DFT total energy = -4.319 eV per atom
crystal system = orthorhombic

[6]
The following is a DFT calculation (PBE-GGA) of an optimized crystal structure of NaLi2SiPd.

Lattice parameters (Å, degrees): 4.8552 4.8552 4.5811 90.00 90.00 90.00
Fractional positions:
Na1 0.0000 0.0000 0.0000
Li1 0.0000 0.5000 0.5000
Li2 0.5000 0.0000 0.5000
Si1 0.5000 0.5000 0.0000
Pd1 0.5000 0.5000 0.5000

Values from the calculation:
DFT total energy = -3.341 eV per atom
crystal system = tetragonal